Compound: TbCe2Cu6
Source: Alexandria via LeMat-Bulk
Functional: PBE
Structure: relaxed

Cell: 7.501 7.501 3.454 Å, 90.00 90.00 120.00°
Positions (direct):
Tb 0.000 0.000 0.000
Ce 0.333 0.667 0.000
Ce 0.667 0.333 0.000
Cu 0.000 0.333 0.500
Cu 0.000 0.667 0.500
Cu 0.333 0.000 0.500
Cu 0.333 0.333 0.500
Cu 0.667 0.000 0.500
Cu 0.667 0.667 0.500

Values from the calculation:
Energy of formation = -1.57 eV per formula unit
Space-group type = No. 191


Compound: TbCeCu2
Source: Alexandria via LeMat-Bulk
Functional: PBE
Structure: relaxed

Cell: 4.029 3.997 10.781 Å, 90.00 100.77 90.00°
Positions (direct):
Tb 0.194 0.250 0.386
Tb 0.806 0.750 0.614
Ce 0.453 0.750 0.909
Ce 0.547 0.250 0.091
Cu 0.080 0.750 0.159
Cu 0.342 0.250 0.686
Cu 0.658 0.750 0.314
Cu 0.920 0.250 0.841

Values from the calculation:
Energy of formation = -0.46 eV per formula unit
Energy above the lowest structure with this stoichiometry = 9 meV/atom
Space-group type = No. 11


Compound: TbCeCuTc
Source: Alexandria via LeMat-Bulk
Functional: PBE
Structure: relaxed

Cell: 6.935 6.935 6.935 Å, 90.00 90.00 90.00°
Positions (direct):
Tb 0.000 0.000 0.000
Tb 0.000 0.500 0.500
Tb 0.500 0.000 0.500
Tb 0.500 0.500 0.000
Ce 0.000 0.000 0.500
Ce 0.000 0.500 0.000
Ce 0.500 0.000 0.000
Ce 0.500 0.500 0.500
Cu 0.250 0.250 0.250
Cu 0.250 0.750 0.750
Cu 0.750 0.250 0.750
Cu 0.750 0.750 0.250
Tc 0.250 0.250 0.750
Tc 0.250 0.750 0.250
Tc 0.750 0.250 0.250
Tc 0.750 0.750 0.750

Values from the calculation:
Energy of formation = -0.29 eV per formula unit
Space-group type = No. 216


Compound: TbCeZnCu
Source: Alexandria via LeMat-Bulk
Functional: PBE
Structure: relaxed

Cell: 7.133 7.133 7.133 Å, 90.00 90.00 90.00°
Positions (direct):
Tb 0.000 0.000 0.000
Tb 0.000 0.500 0.500
Tb 0.500 0.000 0.500
Tb 0.500 0.500 0.000
Ce 0.000 0.000 0.500
Ce 0.000 0.500 0.000
Ce 0.500 0.000 0.000
Ce 0.500 0.500 0.500
Zn 0.250 0.250 0.750
Zn 0.250 0.750 0.250
Zn 0.750 0.250 0.250
Zn 0.750 0.750 0.750
Cu 0.250 0.250 0.250
Cu 0.250 0.750 0.750
Cu 0.750 0.250 0.750
Cu 0.750 0.750 0.250

Values from the calculation:
Energy of formation = -0.65 eV per formula unit
Space-group type = No. 216


Compound: Ce6CuTc
Source: Alexandria via LeMat-Bulk
Functional: PBE
Structure: relaxed

Cell: 4.877 4.877 15.977 Å, 90.00 90.00 90.00°
Positions (direct):
Ce 0.000 0.000 0.244
Ce 0.000 0.000 0.756
Ce 0.000 0.500 0.108
Ce 0.000 0.500 0.392
Ce 0.000 0.500 0.608
Ce 0.000 0.500 0.892
Ce 0.500 0.000 0.108
Ce 0.500 0.000 0.392
Ce 0.500 0.000 0.608
Ce 0.500 0.000 0.892
Ce 0.500 0.500 0.256
Ce 0.500 0.500 0.744
Cu 0.000 0.000 0.500
Cu 0.500 0.500 0.000
Tc 0.000 0.000 0.000
Tc 0.500 0.500 0.500

Values from the calculation:
Energy of formation = -0.15 eV per formula unit
Space-group type = No. 139


Compound: Ce3CuTc
Source: Alexandria via LeMat-Bulk
Functional: PBE
Structure: relaxed

Cell: 6.831 6.831 7.673 Å, 95.34 95.34 39.36°
Positions (direct):
Ce 0.029 0.029 0.281
Ce 0.252 0.252 0.670
Ce 0.425 0.425 0.113
Ce 0.575 0.575 0.887
Ce 0.748 0.748 0.330
Ce 0.971 0.971 0.719
Cu 0.199 0.199 0.031
Cu 0.801 0.801 0.969
Tc 0.392 0.392 0.502
Tc 0.608 0.608 0.498

Values from the calculation:
Energy of formation = -0.39 eV per formula unit
Space-group type = No. 12


Compound: Ce2CuTc
Source: Alexandria via LeMat-Bulk
Functional: PBE
Structure: relaxed

Cell: 3.391 3.391 7.383 Å, 90.00 90.00 90.00°
Positions (direct):
Ce 0.000 0.000 0.237
Ce 0.000 0.000 0.763
Cu 0.500 0.500 0.500
Tc 0.500 0.500 0.000

Values from the calculation:
Energy of formation = -0.23 eV per formula unit
Space-group type = No. 123


Compound: CeCuTc
Source: Alexandria via LeMat-Bulk
Functional: PBE
Structure: relaxed

Cell: 7.198 4.670 6.972 Å, 90.00 90.00 90.00°
Positions (direct):
Ce 0.004 0.250 0.201
Ce 0.496 0.750 0.701
Ce 0.504 0.250 0.299
Ce 0.996 0.750 0.799
Cu 0.235 0.750 0.356
Cu 0.265 0.250 0.856
Cu 0.735 0.750 0.144
Cu 0.765 0.250 0.644
Tc 0.112 0.250 0.511
Tc 0.388 0.750 0.011
Tc 0.612 0.250 0.989
Tc 0.888 0.750 0.489

Values from the calculation:
Energy of formation = -0.04 eV per formula unit
Space-group type = No. 62


Compound: CeTmCuTc
Source: Alexandria via LeMat-Bulk
Functional: PBE
Structure: relaxed

Cell: 6.879 6.879 6.879 Å, 90.00 90.00 90.00°
Positions (direct):
Ce 0.000 0.000 0.000
Ce 0.000 0.500 0.500
Ce 0.500 0.000 0.500
Ce 0.500 0.500 0.000
Tm 0.000 0.000 0.500
Tm 0.000 0.500 0.000
Tm 0.500 0.000 0.000
Tm 0.500 0.500 0.500
Cu 0.250 0.250 0.750
Cu 0.250 0.750 0.250
Cu 0.750 0.250 0.250
Cu 0.750 0.750 0.750
Tc 0.250 0.250 0.250
Tc 0.250 0.750 0.750
Tc 0.750 0.250 0.750
Tc 0.750 0.750 0.250

Values from the calculation:
Energy of formation = -0.46 eV per formula unit
Space-group type = No. 216


Compound: CeZrCuTc
Source: Alexandria via LeMat-Bulk
Functional: PBE
Structure: relaxed

Cell: 6.764 6.764 6.764 Å, 90.00 90.00 90.00°
Positions (direct):
Ce 0.000 0.000 0.000
Ce 0.000 0.500 0.500
Ce 0.500 0.000 0.500
Ce 0.500 0.500 0.000
Zr 0.000 0.000 0.500
Zr 0.000 0.500 0.000
Zr 0.500 0.000 0.000
Zr 0.500 0.500 0.500
Cu 0.250 0.250 0.750
Cu 0.250 0.750 0.250
Cu 0.750 0.250 0.250
Cu 0.750 0.750 0.750
Tc 0.250 0.250 0.250
Tc 0.250 0.750 0.750
Tc 0.750 0.250 0.750
Tc 0.750 0.750 0.250

Values from the calculation:
Energy of formation = -0.33 eV per formula unit
Space-group type = No. 216


Compound: CeCu2Te3
Source: Alexandria via LeMat-Bulk
Functional: PBE
Structure: relaxed

Cell: 6.994 4.191 11.576 Å, 90.00 99.42 90.00°
Positions (direct):
Ce 0.175 0.250 0.320
Ce 0.825 0.750 0.680
Cu 0.038 0.750 0.081
Cu 0.464 0.250 0.573
Cu 0.536 0.750 0.427
Cu 0.962 0.250 0.919
Te 0.165 0.750 0.878
Te 0.229 0.750 0.539
Te 0.398 0.750 0.202
Te 0.602 0.250 0.798
Te 0.771 0.250 0.461
Te 0.835 0.250 0.122

Values from the calculation:
Space-group type = No. 11
Formation energy without anion corrections = -596 meV/atom


Compound: Ce2CuTe4
Source: Alexandria via LeMat-Bulk
Functional: PBE
Structure: relaxed

Cell: 7.672 6.348 8.833 Å, 90.00 106.81 90.00°
Positions (direct):
Ce 0.230 0.250 0.436
Ce 0.245 0.250 0.932
Ce 0.755 0.750 0.068
Ce 0.770 0.750 0.564
Cu 0.228 0.750 0.683
Cu 0.772 0.250 0.317
Te 0.077 0.750 0.903
Te 0.080 0.750 0.385
Te 0.490 0.504 0.250
Te 0.490 0.996 0.250
Te 0.510 0.004 0.750
Te 0.510 0.496 0.750
Te 0.920 0.250 0.615
Te 0.923 0.250 0.097

Values from the calculation:
Space-group type = No. 11
Formation energy without anion corrections = -998 meV/atom


Compound: CeThCu
Source: Alexandria via LeMat-Bulk
Functional: PBE
Structure: relaxed

Cell: 3.578 3.578 11.941 Å, 90.00 90.00 90.00°
Positions (direct):
Ce 0.000 0.000 0.000
Ce 0.500 0.500 0.500
Th 0.000 0.000 0.711
Th 0.500 0.500 0.211
Cu 0.000 0.000 0.353
Cu 0.500 0.500 0.853

Values from the calculation:
Energy of formation = 0.05 eV per formula unit
Energy above the lowest structure with this stoichiometry = 0 meV/atom
Space-group type = No. 107


Compound: CeThCu
Source: Alexandria via LeMat-Bulk
Functional: PBE
Structure: relaxed

Cell: 3.447 3.447 12.175 Å, 90.00 90.00 90.00°
Positions (direct):
Ce 0.250 0.250 0.090
Ce 0.750 0.750 0.910
Th 0.250 0.250 0.701
Th 0.750 0.750 0.299
Cu 0.250 0.250 0.454
Cu 0.750 0.750 0.546

Values from the calculation:
Energy of formation = 0.08 eV per formula unit
Energy above the lowest structure with this stoichiometry = 9 meV/atom
Space-group type = No. 129


Compound: Ce2ThCu
Source: Alexandria via LeMat-Bulk
Functional: PBE
Structure: relaxed

Cell: 3.516 3.516 8.287 Å, 90.00 90.00 90.00°
Positions (direct):
Ce 0.000 0.000 0.213
Ce 0.000 0.000 0.787
Th 0.500 0.500 0.500
Cu 0.500 0.500 0.000

Values from the calculation:
Energy of formation = -0.06 eV per formula unit
Energy above the lowest structure with this stoichiometry = 0 meV/atom
Space-group type = No. 123


Compound: CeThCu4
Source: Alexandria via LeMat-Bulk
Functional: PBE
Structure: relaxed

Cell: 3.915 3.915 15.596 Å, 90.00 90.00 90.00°
Positions (direct):
Ce 0.000 0.000 0.000
Ce 0.500 0.500 0.500
Th 0.000 0.500 0.750
Th 0.500 0.000 0.250
Cu 0.000 0.000 0.421
Cu 0.000 0.000 0.579
Cu 0.000 0.500 0.170
Cu 0.000 0.500 0.330
Cu 0.500 0.000 0.670
Cu 0.500 0.000 0.830
Cu 0.500 0.500 0.079
Cu 0.500 0.500 0.921

Values from the calculation:
Energy of formation = -0.69 eV per formula unit
Energy above the lowest structure with this stoichiometry = 0 meV/atom
Space-group type = No. 119


Compound: CeThCu
Source: Alexandria via LeMat-Bulk
Functional: PBE
Structure: relaxed

Cell: 4.755 4.755 3.675 Å, 90.00 90.00 120.00°
Positions (direct):
Ce 0.000 0.000 0.000
Th 0.667 0.333 0.637
Cu 0.333 0.667 0.326

Values from the calculation:
Energy of formation = 0.29 eV per formula unit
Energy above the lowest structure with this stoichiometry = 78 meV/atom
Space-group type = No. 156


Compound: CeThCu2
Source: Alexandria via LeMat-Bulk
Functional: PBE
Structure: relaxed

Cell: 7.094 7.094 7.094 Å, 90.00 90.00 90.00°
Positions (direct):
Ce 0.000 0.000 0.000
Ce 0.000 0.500 0.500
Ce 0.500 0.000 0.500
Ce 0.500 0.500 0.000
Th 0.000 0.000 0.500
Th 0.000 0.500 0.000
Th 0.500 0.000 0.000
Th 0.500 0.500 0.500
Cu 0.250 0.250 0.250
Cu 0.250 0.250 0.750
Cu 0.250 0.750 0.250
Cu 0.250 0.750 0.750
Cu 0.750 0.250 0.250
Cu 0.750 0.250 0.750
Cu 0.750 0.750 0.250
Cu 0.750 0.750 0.750

Values from the calculation:
Energy of formation = -0.12 eV per formula unit
Energy above the lowest structure with this stoichiometry = 46 meV/atom
Space-group type = No. 225


Compound: CeTh2Cu6
Source: Alexandria via LeMat-Bulk
Functional: PBE
Structure: relaxed

Cell: 7.605 7.605 3.454 Å, 90.00 90.00 120.00°
Positions (direct):
Ce 0.000 0.000 0.000
Th 0.333 0.667 0.000
Th 0.667 0.333 0.000
Cu 0.000 0.332 0.500
Cu 0.000 0.668 0.500
Cu 0.332 0.000 0.500
Cu 0.332 0.332 0.500
Cu 0.668 0.000 0.500
Cu 0.668 0.668 0.500

Values from the calculation:
Energy of formation = -1.58 eV per formula unit
Space-group type = No. 191


Compound: CeThCu2
Source: Alexandria via LeMat-Bulk
Functional: PBE
Structure: relaxed

Cell: 3.771 4.249 10.958 Å, 90.00 99.90 90.00°
Positions (direct):
Ce 0.045 0.250 0.089
Ce 0.955 0.750 0.911
Th 0.303 0.750 0.606
Th 0.697 0.250 0.394
Cu 0.153 0.750 0.304
Cu 0.423 0.250 0.847
Cu 0.577 0.750 0.153
Cu 0.847 0.250 0.696

Values from the calculation:
Energy of formation = -0.31 eV per formula unit
Energy above the lowest structure with this stoichiometry = 0 meV/atom
Space-group type = No. 11


Compound: Ce2ThCu
Source: Alexandria via LeMat-Bulk
Functional: PBE
Structure: relaxed

Cell: 7.376 7.376 7.376 Å, 90.00 90.00 90.00°
Positions (direct):
Ce 0.250 0.250 0.250
Ce 0.250 0.250 0.750
Ce 0.250 0.750 0.250
Ce 0.250 0.750 0.750
Ce 0.750 0.250 0.250
Ce 0.750 0.250 0.750
Ce 0.750 0.750 0.250
Ce 0.750 0.750 0.750
Th 0.000 0.000 0.000
Th 0.000 0.500 0.500
Th 0.500 0.000 0.500
Th 0.500 0.500 0.000
Cu 0.000 0.000 0.500
Cu 0.000 0.500 0.000
Cu 0.500 0.000 0.000
Cu 0.500 0.500 0.500

Values from the calculation:
Energy of formation = 1.11 eV per formula unit
Energy above the lowest structure with this stoichiometry = 295 meV/atom
Space-group type = No. 225


Compound: CeThCu2
Source: Alexandria via LeMat-Bulk
Functional: PBE
Structure: relaxed

Cell: 5.059 5.059 3.497 Å, 90.00 90.00 90.00°
Positions (direct):
Ce 0.000 0.000 0.000
Th 0.500 0.500 0.000
Cu 0.000 0.500 0.500
Cu 0.500 0.000 0.500

Values from the calculation:
Energy of formation = -0.11 eV per formula unit
Energy above the lowest structure with this stoichiometry = 49 meV/atom
Space-group type = No. 123


Compound: CeThCu2
Source: Alexandria via LeMat-Bulk
Functional: PBE
Structure: relaxed

Cell: 3.724 3.724 24.347 Å, 90.00 90.00 120.00°
Positions (direct):
Ce 0.000 0.000 0.000
Ce 0.333 0.667 0.667
Ce 0.667 0.333 0.333
Th 0.000 0.000 0.500
Th 0.333 0.667 0.167
Th 0.667 0.333 0.833
Cu 0.000 0.000 0.250
Cu 0.000 0.000 0.750
Cu 0.333 0.667 0.417
Cu 0.333 0.667 0.916
Cu 0.667 0.333 0.084
Cu 0.667 0.333 0.583

Values from the calculation:
Energy of formation = 0.64 eV per formula unit
Energy above the lowest structure with this stoichiometry = 237 meV/atom
Space-group type = No. 166


Compound: CeThCu4
Source: Alexandria via LeMat-Bulk
Functional: PBE
Structure: relaxed

Cell: 5.311 5.311 5.311 Å, 60.00 60.00 60.00°
Positions (direct):
Ce 0.000 0.000 0.000
Th 0.250 0.250 0.250
Cu 0.125 0.625 0.625
Cu 0.625 0.125 0.625
Cu 0.625 0.625 0.125
Cu 0.625 0.625 0.625

Values from the calculation:
Energy of formation = -0.36 eV per formula unit
Energy above the lowest structure with this stoichiometry = 55 meV/atom
Space-group type = No. 216


Compound: Ce2ThZn2Cu2
Source: Alexandria via LeMat-Bulk
Functional: PBE
Structure: relaxed

Cell: 9.289 9.289 9.289 Å, 26.97 26.97 26.97°
Positions (direct):
Ce 0.139 0.139 0.139
Ce 0.861 0.861 0.861
Th 0.000 0.000 0.000
Zn 0.260 0.260 0.260
Zn 0.740 0.740 0.740
Cu 0.405 0.405 0.405
Cu 0.595 0.595 0.595

Values from the calculation:
Energy of formation = -1.32 eV per formula unit
Space-group type = No. 166


Compound: CeTiCu
Source: Alexandria via LeMat-Bulk
Functional: PBE
Structure: relaxed

Cell: 3.030 3.030 12.067 Å, 90.00 90.00 90.00°
Positions (direct):
Ce 0.250 0.250 0.112
Ce 0.750 0.750 0.888
Ti 0.250 0.250 0.426
Ti 0.750 0.750 0.574
Cu 0.250 0.250 0.704
Cu 0.750 0.750 0.296

Values from the calculation:
Energy of formation = -0.12 eV per formula unit
Energy above the lowest structure with this stoichiometry = 0 meV/atom
Space-group type = No. 129


Compound: CeTiCu4
Source: Alexandria via LeMat-Bulk
Functional: PBE
Structure: relaxed

Cell: 5.088 5.088 5.088 Å, 60.00 60.00 60.00°
Positions (direct):
Ce 0.000 0.000 0.000
Ti 0.250 0.250 0.250
Cu 0.130 0.623 0.623
Cu 0.623 0.130 0.623
Cu 0.623 0.623 0.130
Cu 0.623 0.623 0.623

Values from the calculation:
Energy of formation = -0.06 eV per formula unit
Space-group type = No. 216


So what do the calculations give for size of the total moment? Going down the list: 0.82; 0.00; 0.01; 4.13; 0.00; 0.97; 0.01; 0.00; 0.00; 0.02; 0.55; 4.32; 0.84; 0.00; 0.00; 2.03; 0.01; 5.14; 0.39; 0.00; 0.00; 1.50; 2.98; 0.00; 0.00; 0.00; 1.42 Bohr magnetons per cell.
So what do the calculations give for D(E_F)? Going down the list: 13.5; 6.1; 4.2; 8.5; 15.3; 9.7; 7.7; 3.4; 4.3; 6.9; 4.1; 14.8; 5.9; 3.6; 7.5; 9.5; 4.6; 6.8; 10.1; 5.0; 10.1; 7.9; 7.3; 9.3; 9.3; 3.9; 8.6 states/eV/f.u..